ZrVRh2: relaxed, GGA-PBE.

## Properties
Raw total energy ... -31.96 eV per formula unit
Calculated volume ... 17.9 Å³ per atom
N(E_F) ... 9.4 states/eV per cell
Energy above the most stable polymorph in this dataset ... 610 meV per atom
Energy of formation ... 102 meV/atom

```
ZrVRh2
1.0
-2.0673 2.0673 8.3568
2.0673 -2.0673 8.3568
2.0673 2.0673 -8.3568
Zr V Rh
2 2 4
Cartesian
0.0000 0.0000 0.0000
0.0000 2.0673 4.1784
2.0673 0.0000 4.1784
0.0000 0.0000 8.3568
1.0336 -0.9001 6.2676
1.1672 1.0336 2.0892
1.0336 2.9673 -2.0892
0.9001 1.0336 10.4460
```



Er4CuPSe2: relaxed, GGA-PBE.

## Properties
ΔE_f (raw) ... -30.3 kcal/mol of atoms
Raw total energy ... -45.24 eV per formula unit
Calculated volume ... 22.9 Å³ per atom
N(E_F) ... 4.4 states/eV per cell

```
Er4CuPSe2
1.0
6.9568 0.0000 0.0000
0.0000 3.9476 0.0000
-2.2353 0.0000 6.6613
Er Cu P Se
4 1 1 2
Cartesian
1.1492 0.0000 1.5556
0.0501 1.9738 5.0813
4.6714 1.9738 1.5801
3.5724 0.0000 5.1057
3.4784 0.0000 0.0000
0.0000 1.9738 0.0000
-1.1176 0.0000 3.3307
2.3608 1.9738 3.3307
```



MgMn2VPt: relaxed, GGA-PBE.

## Properties
Raw total energy ... -28.22 eV per formula unit
Calculated volume ... 19.8 Å³ per atom
N(E_F) ... 11.2 states/eV per cell
Energy of formation ... 1374 meV/atom

```
MgMn2VPt
1.0
4.5698 0.0000 0.0000
0.0000 4.5698 0.0000
0.0000 0.0000 4.7522
Mg Mn V Pt
1 2 1 1
Cartesian
0.0000 0.0000 0.0000
0.0000 2.2849 2.3761
2.2849 0.0000 2.3761
2.2849 2.2849 0.0000
0.0000 0.0000 2.3761
```



Nd2TmAu3: relaxed, GGA-PBE.

## Properties
Raw total energy ... -28.63 eV per formula unit
Calculated volume ... 24.6 Å³ per atom
N(E_F) ... 8.3 states/eV per cell
Energy of formation ... -798 meV/atom

```
Nd2TmAu3
1.0
5.1588 0.0000 0.0000
0.0000 15.7314 0.0000
0.0000 0.0000 3.6369
Nd Tm Au
4 2 6
Cartesian
1.2897 1.2906 0.0047
1.2897 6.5751 0.0047
3.8691 9.1563 3.6322
3.8691 14.4408 3.6322
1.2897 11.7986 3.6319
3.8691 3.9329 0.0050
1.2897 3.9329 1.8264
1.2897 9.3854 1.8138
1.2897 14.2118 1.8138
3.8691 1.5196 1.8231
3.8691 6.3461 1.8231
3.8691 11.7986 1.8105
```



MoOs2Pd: relaxed, GGA-PBE.

## Properties
Raw total energy ... -36.88 eV per formula unit
Calculated volume ... 15.1 Å³ per atom
N(E_F) ... 4.3 states/eV per cell
Energy above the most stable polymorph in this dataset ... 297 meV per atom
Energy of formation ... 401 meV/atom

```
MoOs2Pd
1.0
0.0000 3.1125 3.1125
3.1125 0.0000 3.1125
3.1125 3.1125 0.0000
Mo Os Pd
1 2 1
Cartesian
0.0000 0.0000 0.0000
1.5562 1.5562 1.5562
4.6687 4.6687 4.6687
3.1125 3.1125 3.1125
```



Nd2Y12Ho5: relaxed, GGA-PBE.

## Properties
Raw total energy ... -107.51 eV per formula unit
Calculated volume ... 33.0 Å³ per atom
N(E_F) ... 29.2 states/eV per cell
Energy above the most stable polymorph in this dataset ... 0 meV per atom
Energy of formation ... 131 meV/atom

```
Nd2Y12Ho5
1.0
7.8525 -4.6612 0.0000
7.8525 4.6612 0.0000
-0.1883 0.0000 8.5770
Nd Y Ho
2 12 5
Cartesian
7.8525 2.9763 0.0000
7.8525 -2.9763 0.0000
0.8439 0.0000 2.8210
5.7873 2.8728 2.9651
5.2784 1.6771 6.5061
9.7295 2.8728 5.6119
6.4248 0.0000 1.0355
10.2384 1.6771 2.0709
5.2784 -1.6771 6.5061
9.0919 0.0000 7.5415
5.7873 -2.8728 2.9651
10.2384 -1.6771 2.0709
9.7295 -2.8728 5.6119
14.6729 0.0000 5.7560
3.1141 0.0000 0.1000
4.1362 0.0000 3.6394
7.7584 0.0000 4.2885
11.3806 0.0000 4.9376
12.4026 0.0000 8.4770
```



Eu3Mg: relaxed, GGA-PBE.

## Properties
Raw total energy ... -32.39 eV per formula unit
Calculated volume ... 37.5 Å³ per atom
N(E_F) ... 13.4 states/eV per cell
Energy above the most stable polymorph in this dataset ... 17 meV per atom
Energy of formation ... 8 meV/atom

```
Eu3Mg
1.0
-2.0200 2.9969 6.1876
2.0200 -2.9969 6.1876
2.0200 2.9969 -6.1876
Eu Mg
3 1
Cartesian
0.0000 0.0000 0.0000
2.0200 0.0000 3.4094
0.0000 2.9969 2.7782
0.0000 0.0000 6.1876
```



Tb2TaVN5: relaxed, GGA-PBE.

## Properties
ΔE_f (raw) ... -30.5 kcal/mol of atoms
Raw total energy ... -83.75 eV per formula unit
Calculated volume ... 12.1 Å³ per atom
N(E_F) ... 4.9 states/eV per cell

```
Tb2TaVN5
1.0
1.6304 -6.5982 0.0000
1.6304 6.5982 0.0000
0.0000 0.0000 10.1470
Tb Ta V N
4 2 2 10
Cartesian
1.6304 5.1522 5.0735
1.6304 4.7252 1.0434
1.6304 -4.7252 6.1169
1.6304 -5.1522 0.0000
1.6304 3.7334 8.2951
1.6304 -3.7334 3.2216
1.6304 0.3064 2.7070
1.6304 -0.3064 7.7805
1.6304 5.9724 8.6435
1.6304 2.8474 4.6408
1.6304 2.4308 1.8779
1.6304 1.7436 8.2043
1.6304 0.0932 6.0336
1.6304 -0.0932 0.9601
1.6304 -1.7436 3.1308
1.6304 -2.4308 6.9514
1.6304 -2.8474 9.7144
1.6304 -5.9724 3.5700
```



- What is the formula in the sixth record?
  Nd2Y12Ho5